P:
# Pm2Y7Sc2

Pm2Y7Sc2 after structural relaxation (PBE-GGA, Alexandria).

Properties
Symmetry: P-1
Crystal system: triclinic

abc: 3.5647 9.9133 10.9916
angles: 67.91 80.68 79.72
With the nearest neighbours (Å) after each atom.
Positions (direct):
Pm (0.0049, 0.2873, 0.2060)  6 Y 3.40-3.59, 2 Pm 3.56
Pm (0.9951, 0.7127, 0.7940)  6 Y 3.40-3.59, 2 Pm 3.56
Y (0.1556, 0.3231, 0.8691)  2 Sc 3.43, 7 Y 3.47-3.63, 2 Pm 3.54-3.59
Y (0.3287, 0.9650, 0.8760)  2 Sc 3.28, 2 Pm 3.40, 7 Y 3.47-3.63
Y (0.3361, 0.4255, 0.4027)  3 Sc 3.27-3.37, 2 Pm 3.40-3.41, 6 Y 3.45-3.57
Y (0.5000, 0.0000, 0.5000)  4 Sc 3.54-3.55, 6 Y 3.56-3.97, 4 Pm 3.85
Y (0.6639, 0.5745, 0.5973)  3 Sc 3.27-3.37, 2 Pm 3.40-3.41, 6 Y 3.45-3.57
Y (0.6713, 0.0350, 0.1240)  2 Sc 3.28, 2 Pm 3.40, 7 Y 3.47-3.63
Y (0.8444, 0.6769, 0.1309)  2 Sc 3.43, 7 Y 3.47-3.63, 2 Pm 3.54-3.59
Sc (0.1815, 0.7873, 0.3495)  9 Y 3.27-3.55, 2 Sc 3.56
Sc (0.8185, 0.2127, 0.6505)  9 Y 3.27-3.55, 2 Sc 3.56

Q:
# Pm2Y7Sc2

Pm2Y7Sc2 after structural relaxation (PBE-GGA, Alexandria).

Properties
Symmetry: C2/m
Crystal system: monoclinic

abc: 6.4097 6.4097 8.6710
angles: 97.67 97.67 92.66
With the nearest neighbours (Å) after each atom.
Positions (direct):
Pm (0.1027, 0.1027, 0.3572)  1 Pm 3.34, 8 Y 3.35-3.58, 2 Sc 3.43
Pm (0.8973, 0.8973, 0.6428)  1 Pm 3.34, 8 Y 3.35-3.58, 2 Sc 3.43
Y (0.0497, 0.4241, 0.7195)  2 Sc 3.31-3.51, 3 Pm 3.35-3.58, 3 Y 3.47-3.60
Y (0.3490, 0.3490, 0.0874)  6 Y 3.32-3.60, 4 Sc 3.42-3.49, 1 Pm 3.49
Y (0.4241, 0.0497, 0.7195)  2 Sc 3.31-3.51, 3 Pm 3.35-3.58, 3 Y 3.47-3.60
Y (0.5000, 0.5000, 0.5000)  2 Pm 3.50, 10 Y 3.57-3.86
Y (0.5759, 0.9503, 0.2805)  2 Sc 3.31-3.51, 3 Pm 3.35-3.58, 3 Y 3.47-3.60
Y (0.6510, 0.6510, 0.9126)  6 Y 3.32-3.60, 4 Sc 3.42-3.49, 1 Pm 3.49
Y (0.9503, 0.5759, 0.2805)  2 Sc 3.31-3.51, 3 Pm 3.35-3.58, 3 Y 3.47-3.60
Sc (0.1691, 0.8309, 0.0000)  1 Sc 3.14, 8 Y 3.31-3.51, 2 Pm 3.43
Sc (0.8309, 0.1691, 0.0000)  1 Sc 3.14, 8 Y 3.31-3.51, 2 Pm 3.43

If you had to name the least stable structure above, which would it be? It would be P.